Li6Fe5CoO12 after structural relaxation. Source: Alexandria, functional PBE+U.

The structure in CIF format:
```
data_Li6Fe5CoO12
_chemical_formula_sum 'Li12 Fe10 Co2 O24'
_cell_length_a 4.940
_cell_length_b 8.558
_cell_length_c 9.917
_cell_angle_alpha 90.00
_cell_angle_beta 99.41
_cell_angle_gamma 90.00
_symmetry_space_group_name_H-M 'C 1 2/m 1'
_symmetry_Int_Tables_number 12
loop_
_symmetry_equiv_pos_as_xyz
'x,y,z'
'-x,-y,-z'
'-x,y,-z'
'x,-y,z'
'x+1/2,y+1/2,z'
'-x+1/2,-y+1/2,-z'
'-x+1/2,y+1/2,-z'
'x+1/2,-y+1/2,z'
loop_
_atom_site_label
_atom_site_type_symbol
_atom_site_fract_x
_atom_site_fract_y
_atom_site_fract_z
Li1 Li 0.086 0.165 0.256
Li2 Li 0.089 0.500 0.255
Fe1 Fe 0.000 0.167 0.000
Fe2 Fe 0.000 0.333 0.500
Fe3 Fe 0.000 0.500 0.000
Co1 Co 0.000 0.000 0.500
O1 O 0.130 0.000 0.889
O2 O 0.130 0.333 0.889
O3 O 0.202 0.165 0.609
O4 O 0.206 0.500 0.609
```

Properties
Calculated total energy (eV for the cell shown): -273.85
Magnetic moment (μB per atom): 0.21